# 1
Compound: CdNiS
Source: Alexandria
Functional: PBE
Structure: optimized geometry

Calculated values
- Energy relative to the elements, uncorrected: -0.204 eV/atom
- D(E_F): 4.381 states/eV per cell
- Magnetization: 0.00 μB/f.u.
- Raw total energy: -3.81 eV per atom

a b c (Å): 11.6545 3.2758 6.9200
angles (deg): 90.00 117.29 90.00
Closest atoms and distances in Å follow each position.
Space group Cm (No. 8)
Asymmetric unit:
1 Cd 0.0000 0.0000 0.0000 (multiplicity 2)  2 Ni 2.73, 2 Cd 2.87, 1 S 3.03
2 Cd 0.1522 0.5000 0.3715 (multiplicity 2)  3 Ni 2.75-2.79, 1 S 2.84, 2 Cd 2.87
3 Ni 0.0711 0.5000 0.6866 (multiplicity 2)  4 S 2.21-2.28
4 Ni 0.3486 0.0000 0.6630 (multiplicity 2)  3 S 2.17-2.29
5 S 0.2139 0.0000 0.8001 (multiplicity 2)  3 Ni 2.17-2.21
6 S 0.4229 0.5000 0.5184 (multiplicity 2)  4 Ni 2.28-2.29

---

# 2
Compound: CdNiS
Source: Alexandria
Functional: PBE
Structure: optimized geometry

Calculated values
- Energy relative to the elements, uncorrected: -0.180 eV/atom
- D(E_F): 0.479 states/eV per cell
- Magnetization: 0.00 μB/f.u.
- Raw total energy: -3.79 eV per atom

a b c (Å): 3.5999 3.9352 4.6591
angles (deg): 77.60 67.46 62.79
Closest atoms and distances in Å follow each position.
Space group P1 (No. 1)
Asymmetric unit:
1 Cd 0.0000 0.0000 0.0000 (multiplicity 1)  3 Ni 2.67-2.72, 3 S 2.72-2.89
2 Ni 0.1642 0.2671 0.4093 (multiplicity 1)  3 S 2.18-2.24
3 S 0.4549 0.6429 0.4516 (multiplicity 1)  3 Ni 2.18-2.24

---

# 3
Compound: CdNiS
Source: Alexandria
Functional: PBE
Structure: optimized geometry

Calculated values
- Energy relative to the elements, uncorrected: -0.226 eV/atom
- D(E_F): 3.502 states/eV per cell
- Magnetization: 0.00 μB/f.u.
- Raw total energy: -3.83 eV per atom

a b c (Å): 11.7733 3.3068 6.2835
angles (deg): 90.00 122.10 90.00
Closest atoms and distances in Å follow each position.
Space group Cm (No. 8)
Asymmetric unit:
1 Cd 0.0000 0.0000 0.0000 (multiplicity 2)  4 Ni 2.70-2.83, 1 S 2.84, 2 Cd 2.97
2 Cd 0.1834 0.5000 0.4448 (multiplicity 2)  1 S 2.60, 2 Ni 2.70-2.72
3 Ni 0.0658 0.5000 0.7152 (multiplicity 2)  4 S 2.27-2.29
4 Ni 0.4126 0.0000 0.2230 (multiplicity 2)  3 S 2.19-2.32
5 S 0.2220 0.0000 0.8610 (multiplicity 2)  3 Ni 2.19-2.27
6 S 0.4147 0.5000 0.4837 (multiplicity 2)  4 Ni 2.29-2.32

---

# 4
Compound: CdNiS
Source: Alexandria
Functional: PBE
Structure: optimized geometry

Calculated values
- Energy relative to the elements, uncorrected: -0.183 eV/atom
- D(E_F): 2.011 states/eV per cell
- Magnetization: 0.00 μB/f.u.
- Raw total energy: -3.79 eV per atom

a b c (Å): 4.1154 3.4330 7.2689
angles (deg): 90.00 90.00 90.00
Closest atoms and distances in Å follow each position.
Space group Amm2 (No. 38)
Asymmetric unit:
1 Cd 0.0000 0.0000 0.0000 (multiplicity 2)  4 Ni 2.75, 2 S 2.93
2 Ni 0.5000 0.0000 0.5861 (multiplicity 2)  3 S 2.18-2.25
3 S 0.5000 0.0000 0.2865 (multiplicity 2)  3 Ni 2.18-2.25

---

# 5
Compound: CdNiS
Source: Alexandria
Functional: PBE
Structure: optimized geometry

Calculated values
- Energy relative to the elements, uncorrected: -0.193 eV/atom
- D(E_F): 3.499 states/eV per cell
- Magnetization: 0.00 μB/f.u.
- Raw total energy: -3.80 eV per atom

a b c (Å): 8.8701 4.0189 7.8663
angles (deg): 90.00 120.67 90.00
Closest atoms and distances in Å follow each position.
Space group Cm (No. 8)
Asymmetric unit:
1 Cd 0.0000 0.0000 0.0000 (multiplicity 2)  3 S 2.68-2.71, 3 Ni 2.77-2.90
2 Cd 0.0640 0.5000 0.6728 (multiplicity 2)  1 S 2.57, 5 Ni 2.63-2.85
3 Ni 0.2819 0.0000 0.7573 (multiplicity 2)  2 S 2.17-2.19
4 Ni 0.3042 0.5000 0.5714 (multiplicity 2)  2 S 2.17
5 S 0.2279 0.0000 0.4531 (multiplicity 2)  3 Ni 2.17-2.19
6 S 0.3237 0.0000 0.0543 (multiplicity 2)  1 Ni 2.17

---

# 6
Compound: Cd3NiS
Source: Alexandria
Functional: PBE
Structure: optimized geometry

Calculated values
- Energy relative to the elements, uncorrected: 0.771 eV/atom
- D(E_F): 5.475 states/eV per cell
- Magnetization: 0.01 μB/f.u.
- Raw total energy: -1.76 eV per atom

a b c (Å): 5.0712 5.0712 5.0712
angles (deg): 90.00 90.00 90.00
Closest atoms and distances in Å follow each position.
Space group Pm-3m (No. 221)
Asymmetric unit:
1 Cd 0.0000 0.0000 0.5000 (multiplicity 3)  2 S 2.54
2 Ni 0.5000 0.5000 0.5000 (multiplicity 1)  12 Cd 3.59
3 S 0.0000 0.0000 0.0000 (multiplicity 1)  6 Cd 2.54

---

# 7
Compound: CdNi4S8
Source: Alexandria
Functional: PBE
Structure: optimized geometry

Calculated values
- Energy relative to the elements, uncorrected: -0.239 eV/atom
- D(E_F): 31.379 states/eV per cell
- Magnetization: 0.00 μB/f.u.
- Raw total energy: -4.63 eV per atom

a b c (Å): 9.8473 9.8473 9.8473
angles (deg): 90.00 90.00 90.00
Closest atoms and distances in Å follow each position.
Space group F-43m (No. 216)
Asymmetric unit:
1 Cd 0.0000 0.0000 0.0000 (multiplicity 4)  4 S 2.47
2 Ni 0.1207 0.1207 0.6207 (multiplicity 16)  6 S 2.27-2.34
3 S 0.1088 0.1088 0.3912 (multiplicity 16)  3 Ni 2.27
4 S 0.1445 0.1445 0.8555 (multiplicity 16)  3 Ni 2.34, 1 Cd 2.47

---

# 8
Compound: CdNiS
Source: Alexandria
Functional: PBE
Structure: optimized geometry

Calculated values
- Energy relative to the elements, uncorrected: -0.243 eV/atom
- D(E_F): 3.475 states/eV per cell
- Magnetization: 0.00 μB/f.u.
- Raw total energy: -3.85 eV per atom

a b c (Å): 12.0989 3.3159 5.8799
angles (deg): 90.00 113.25 90.00
Closest atoms and distances in Å follow each position.
Space group C2/m (No. 12)
Asymmetric unit:
1 Cd 0.1788 0.0000 0.2768 (multiplicity 4)  3 Ni 2.70-2.94, 1 S 2.83, 2 Cd 3.01
2 Ni 0.0000 0.0000 0.5000 (multiplicity 2)  4 S 2.22
3 Ni 0.0000 0.5000 0.0000 (multiplicity 2)  2 S 2.16
4 S 0.0936 0.5000 0.7549 (multiplicity 4)  3 Ni 2.16-2.22

---

# 9
Compound: CdSiNi2S
Source: Alexandria
Functional: PBE
Structure: optimized geometry

Calculated values
- Energy relative to the elements, uncorrected: 0.608 eV/atom
- D(E_F): 4.817 states/eV per cell
- Magnetization: 0.00 μB/f.u.
- Raw total energy: -3.80 eV per atom

a b c (Å): 4.2410 4.2410 5.2227
angles (deg): 90.00 90.00 90.00
Closest atoms and distances in Å follow each position.
Space group P4/mmm (No. 123)
Asymmetric unit:
1 Cd 0.0000 0.0000 0.0000 (multiplicity 1)  2 Si 2.61
2 Si 0.0000 0.0000 0.5000 (multiplicity 1)  4 Ni 2.12
3 Ni 0.0000 0.5000 0.5000 (multiplicity 2)  2 Si 2.12
4 S 0.5000 0.5000 0.0000 (multiplicity 1)  4 Cd 3.00

---

# 10
Compound: TaCdNiS2
Source: Alexandria
Functional: PBE
Structure: optimized geometry

Calculated values
- Energy relative to the elements, uncorrected: 1.401 eV/atom
- D(E_F): 7.270 states/eV per cell
- Magnetization: 1.66 μB/f.u.
- Raw total energy: -3.96 eV per atom

a b c (Å): 4.8058 4.8058 4.6280
angles (deg): 90.00 90.00 90.00
Closest atoms and distances in Å follow each position.
Space group P4/mmm (No. 123)
Asymmetric unit:
1 Ta 0.0000 0.0000 0.0000 (multiplicity 1)  8 S 3.34, 4 Ni 3.40
2 Cd 0.5000 0.5000 0.5000 (multiplicity 1)  2 Ni 2.31, 4 S 2.40
3 Ni 0.5000 0.5000 0.0000 (multiplicity 1)  2 Cd 2.31
4 S 0.0000 0.5000 0.5000 (multiplicity 2)  2 Cd 2.40

---

# 11
Compound: Ti2CdNiS
Source: Alexandria
Functional: PBE
Structure: optimized geometry

Calculated values
- Energy relative to the elements, uncorrected: -0.341 eV/atom
- D(E_F): 3.204 states/eV per cell
- Magnetization: 0.00 μB/f.u.
- Raw total energy: -5.66 eV per atom

a b c (Å): 4.5328 4.5328 4.1772
angles (deg): 90.00 90.00 90.00
Closest atoms and distances in Å follow each position.
Space group P4/mmm (No. 123)
Asymmetric unit:
1 Ti 0.0000 0.5000 0.0000 (multiplicity 2)  2 S 2.27
2 Cd 0.0000 0.0000 0.5000 (multiplicity 1)  8 Ti 3.08, 4 Ni 3.21
3 Ni 0.5000 0.5000 0.5000 (multiplicity 1)  2 S 2.09
4 S 0.5000 0.5000 0.0000 (multiplicity 1)  2 Ni 2.09, 4 Ti 2.27

---

# 12
Compound: CdNiSb3
Source: Alexandria
Functional: PBE
Structure: optimized geometry

Calculated values
- Energy relative to the elements, uncorrected: 0.288 eV/atom
- D(E_F): 4.007 states/eV per cell
- Magnetization: 0.00 μB/f.u.
- Raw total energy: -3.52 eV per atom

a b c (Å): 5.0567 5.0567 5.0567
angles (deg): 90.00 90.00 90.00
Closest atoms and distances in Å follow each position.
Space group Pm-3m (No. 221)
Asymmetric unit:
1 Cd 0.0000 0.0000 0.0000 (multiplicity 1)  12 Sb 3.58
2 Ni 0.5000 0.5000 0.5000 (multiplicity 1)  6 Sb 2.53
3 Sb 0.0000 0.5000 0.5000 (multiplicity 3)  2 Ni 2.53

---

# 13
Compound: CdNi2Sb2
Source: Alexandria
Functional: PBE
Structure: optimized geometry

Calculated values
- Energy relative to the elements, uncorrected: 0.201 eV/atom
- D(E_F): 4.880 states/eV per cell
- Magnetization: 0.00 μB/f.u.
- Raw total energy: -3.94 eV per atom

a b c (Å): 4.5647 4.5647 9.9005
angles (deg): 90.00 90.00 90.00
Closest atoms and distances in Å follow each position.
Space group I4/mmm (No. 139)
Asymmetric unit:
1 Cd 0.0000 0.0000 0.0000 (multiplicity 2)  8 Sb 3.37, 10 Ni 3.45-3.74
2 Ni 0.0000 0.0000 0.3777 (multiplicity 4)  1 Ni 2.42, 4 Sb 2.61
3 Sb 0.0000 0.5000 0.2500 (multiplicity 4)  4 Ni 2.61

---

# 14
Compound: Cd2NiSb
Source: Alexandria
Functional: PBE
Structure: optimized geometry

Calculated values
- Energy relative to the elements, uncorrected: 0.182 eV/atom
- D(E_F): 3.238 states/eV per cell
- Magnetization: 0.00 μB/f.u.
- Raw total energy: -2.75 eV per atom

a b c (Å): 4.1620 4.1620 9.1717
angles (deg): 90.00 90.00 90.00
Closest atoms and distances in Å follow each position.
Space group I4/mmm (No. 139)
Asymmetric unit:
1 Cd 0.0000 0.5000 0.2500 (multiplicity 4)  4 Cd 2.94, 4 Sb 3.10, 4 Ni 3.10
2 Ni 0.0000 0.0000 0.0000 (multiplicity 2)  4 Sb 2.94, 8 Cd 3.10
3 Sb 0.0000 0.0000 0.5000 (multiplicity 2)  4 Ni 2.94, 8 Cd 3.10

---

# 15
Compound: CdNiSb2
Source: Alexandria
Functional: PBE
Structure: optimized geometry

Calculated values
- Energy relative to the elements, uncorrected: -0.027 eV/atom
- D(E_F): 1.406 states/eV per cell
- Magnetization: 0.00 μB/f.u.
- Raw total energy: -3.76 eV per atom

a b c (Å): 5.1813 4.0483 5.1942
angles (deg): 90.00 114.82 90.00
Closest atoms and distances in Å follow each position.
Space group P2/m (No. 10)
Asymmetric unit:
1 Cd 0.0000 0.0000 0.0000 (multiplicity 1)  2 Ni 2.60
2 Ni 0.0000 0.0000 0.5000 (multiplicity 1)  4 Sb 2.54, 2 Cd 2.60
3 Sb 0.3238 0.5000 0.6811 (multiplicity 2)  2 Ni 2.54

---

# 16
Compound: Cd2NiSb
Source: Alexandria
Functional: PBE
Structure: optimized geometry

Calculated values
- Energy relative to the elements, uncorrected: 0.201 eV/atom
- D(E_F): 3.709 states/eV per cell
- Magnetization: 0.00 μB/f.u.
- Raw total energy: -2.73 eV per atom

a b c (Å): 4.2939 4.2939 8.6702
angles (deg): 90.00 90.00 90.00
Closest atoms and distances in Å follow each position.
Space group I-4m2 (No. 119)
Asymmetric unit:
1 Cd 0.0000 0.0000 0.0000 (multiplicity 2)  4 Sb 3.04, 4 Cd 3.05, 4 Ni 3.05
2 Cd 0.0000 0.5000 0.2500 (multiplicity 2)  4 Ni 3.04, 4 Cd 3.05, 4 Sb 3.05
3 Ni 0.0000 0.5000 0.7500 (multiplicity 2)  8 Cd 3.04-3.05, 4 Sb 3.05
4 Sb 0.0000 0.0000 0.5000 (multiplicity 2)  8 Cd 3.04-3.05, 4 Ni 3.05

---

# 17
Compound: CdNiSb2
Source: Alexandria
Functional: PBE
Structure: optimized geometry

Calculated values
- Energy relative to the elements, uncorrected: 0.062 eV/atom
- D(E_F): 2.451 states/eV per cell
- Magnetization: 0.00 μB/f.u.
- Raw total energy: -3.67 eV per atom

a b c (Å): 4.0900 3.4036 6.6578
angles (deg): 90.00 107.24 90.00
Closest atoms and distances in Å follow each position.
Space group Pm (No. 6)
Asymmetric unit:
1 Cd 0.0000 0.0000 0.0000 (multiplicity 1)  2 Ni 2.78, 2 Sb 3.10
2 Ni 0.8287 0.5000 0.6545 (multiplicity 1)  5 Sb 2.55-2.68, 2 Cd 2.78
3 Sb 0.3047 0.0000 0.6056 (multiplicity 1)  4 Ni 2.68
4 Sb 0.6249 0.5000 0.2533 (multiplicity 1)  1 Ni 2.55

---

# 18
Compound: CdNiSb2
Source: Alexandria
Functional: PBE
Structure: optimized geometry

Calculated values
- Energy relative to the elements, uncorrected: -0.061 eV/atom
- D(E_F): 2.937 states/eV per cell
- Magnetization: 0.00 μB/f.u.
- Raw total energy: -3.80 eV per atom

a b c (Å): 6.8378 3.9750 7.2736
angles (deg): 90.00 108.50 90.00
Closest atoms and distances in Å follow each position.
Space group C2/m (No. 12)
Asymmetric unit:
1 Cd 0.0000 0.0000 0.0000 (multiplicity 2)  6 Sb 3.20
2 Ni 0.0000 0.5000 0.5000 (multiplicity 2)  6 Sb 2.58-2.59
3 Sb 0.2253 0.0000 0.6755 (multiplicity 4)  3 Ni 2.58-2.59

---

# 19
Compound: CdNiSb2
Source: Alexandria
Functional: PBE
Structure: optimized geometry

Calculated values
- Energy relative to the elements, uncorrected: 0.004 eV/atom
- D(E_F): 3.541 states/eV per cell
- Magnetization: 0.00 μB/f.u.
- Raw total energy: -3.73 eV per atom

a b c (Å): 9.8282 3.2510 6.2418
angles (deg): 90.00 112.12 90.00
Closest atoms and distances in Å follow each position.
Space group Cm (No. 8)
Asymmetric unit:
1 Cd 0.0000 0.0000 0.0000 (multiplicity 2)  3 Ni 2.67-2.77
2 Ni 0.2281 0.5000 0.9976 (multiplicity 2)  4 Sb 2.58-2.59, 3 Cd 2.67-2.77
3 Sb 0.1682 0.0000 0.6533 (multiplicity 2)  2 Ni 2.58
4 Sb 0.3506 0.0000 0.3388 (multiplicity 2)  2 Ni 2.59

---

# 20
Compound: CdNiSb2
Source: Alexandria
Functional: PBE
Structure: optimized geometry

Calculated values
- Energy relative to the elements, uncorrected: 0.142 eV/atom
- D(E_F): 8.882 states/eV per cell
- Magnetization: 0.00 μB/f.u.
- Raw total energy: -3.59 eV per atom

a b c (Å): 6.3341 6.3341 11.3782
angles (deg): 90.00 90.00 90.00
Closest atoms and distances in Å follow each position.
Space group I-42d (No. 122)
Asymmetric unit:
1 Cd 0.0000 0.0000 0.0000 (multiplicity 4)  4 Sb 2.92
2 Ni 0.0000 0.0000 0.5000 (multiplicity 4)  4 Sb 2.43
3 Sb 0.1855 0.2500 0.6250 (multiplicity 8)  2 Ni 2.43